A plane-wave DFT calculation with GGA-PBE was carried out for a relaxed Pm2SmMnN4 crystal.

## Properties
Magnetic moment, μB per atom: 0.016
E_form (uncorrected), eV/atom: -1.011

a b c (Å): 3.448 11.721 11.893
angles (deg): 90.00 90.00 90.00
Space group Cmcm (No. 63)
Unique sites:
Pm: 0.000 0.133 0.044
Sm: 0.000 0.385 0.250
Mn: 0.000 0.341 0.750
N: 0.000 0.087 0.250
N: 0.000 0.230 0.638
N: 0.000 0.500 0.000


A plane-wave DFT calculation with GGA-PBE was carried out for a relaxed Pm6Pr12Dy crystal.

## Properties
Magnetic moment, μB per atom: 0.000
E_tot, eV for the cell shown: -264.36

a b c (Å): 12.3595 12.3595 15.4822
angles (deg): 90.00 90.00 120.00
Space group R-3 (No. 148, hexagonal axes)
Unique sites:
Pm: 0.0149 0.4251 0.1863
Pr: 0.0015 0.8291 0.6902
Pr: 0.0481 0.8505 0.9165
Dy: 0.0000 0.0000 0.5000


A plane-wave DFT calculation with GGA-PBE was carried out for a relaxed KRuPb2 crystal.

## Properties
Magnetic moment, μB per atom: 0.000
E_tot, eV for the cell shown: -63.20

a b c (Å): 7.232 7.232 7.232
angles (deg): 90.00 90.00 90.00
Space group Fm-3m (No. 225)
Unique sites:
K: 0.000 0.000 0.000
Ru: 0.000 0.000 0.500
Pb: 0.250 0.250 0.250


Repeat the second record exactly.
A plane-wave DFT calculation with GGA-PBE was carried out for a relaxed Pm6Pr12Dy crystal.

## Properties
Magnetic moment, μB per atom: 0.000
E_tot, eV for the cell shown: -264.36

a b c (Å): 12.3595 12.3595 15.4822
angles (deg): 90.00 90.00 120.00
Space group R-3 (No. 148, hexagonal axes)
Unique sites:
Pm: 0.0149 0.4251 0.1863
Pr: 0.0015 0.8291 0.6902
Pr: 0.0481 0.8505 0.9165
Dy: 0.0000 0.0000 0.5000


Please write out number 1 again, unchanged.
A plane-wave DFT calculation with GGA-PBE was carried out for a relaxed Pm2SmMnN4 crystal.

## Properties
Magnetic moment, μB per atom: 0.016
E_form (uncorrected), eV/atom: -1.011

a b c (Å): 3.448 11.721 11.893
angles (deg): 90.00 90.00 90.00
Space group Cmcm (No. 63)
Unique sites:
Pm: 0.000 0.133 0.044
Sm: 0.000 0.385 0.250
Mn: 0.000 0.341 0.750
N: 0.000 0.087 0.250
N: 0.000 0.230 0.638
N: 0.000 0.500 0.000


> magnetic moment of number 2 (Pm6Pr12Dy)?

0.000 μB per atom